[1]
The following is a DFT calculation (PBE-GGA) of a relaxed structure of Ce2PuPb.

Cell: 4.923 4.923 4.610 Å, 90.00 90.00 90.00°
Element x y z (fractional)
Ce: 0.000 0.500 0.000
Ce: 0.500 0.000 0.000
Pu: 0.000 0.000 0.500
Pb: 0.500 0.500 0.500

energy of formation from the pure elements	-242	meV per atom
VASP energy	-0.567	Ry/atom
space-group type	P4/mmm

---

[2]
The following is a DFT calculation (PBE-GGA) of a relaxed structure of TbSmHf.

Cell: 4.668 4.668 8.304 Å, 90.00 90.00 90.00°
Element x y z (fractional)
Tb: 0.250 0.250 0.218
Tb: 0.750 0.750 0.782
Sm: 0.250 0.250 0.789
Sm: 0.750 0.750 0.211
Hf: 0.250 0.750 0.500
Hf: 0.750 0.250 0.500

energy of formation from the pure elements	234	meV per atom
VASP energy	-0.456	Ry/atom
space-group type	P4/nmm

---

[3]
The following is a DFT calculation (PBE-GGA) of a relaxed structure of Y7Tl2Pd2.

Cell: 6.943 6.943 7.127 Å, 90.00 90.00 107.76°
Element x y z (fractional)
Y: 0.000 0.000 0.000
Y: 0.000 0.500 0.254
Y: 0.000 0.500 0.746
Y: 0.500 0.000 0.254
Y: 0.500 0.000 0.746
Y: 0.500 0.500 0.244
Y: 0.500 0.500 0.756
Tl: 0.181 0.181 0.500
Tl: 0.819 0.819 0.500
Pd: 0.290 0.710 0.000
Pd: 0.710 0.290 0.000

energy of formation from the pure elements	-319	meV per atom
VASP energy	-0.427	Ry/atom
space-group type	Cmmm

---

[4]
The following is a DFT calculation (PBE-GGA) of a relaxed structure of InGa2Ir2.

Cell: 7.522 7.522 2.864 Å, 90.00 90.00 90.00°
Element x y z (fractional)
In: 0.000 0.000 0.000
In: 0.500 0.500 0.000
Ga: 0.131 0.369 0.000
Ga: 0.369 0.869 0.000
Ga: 0.631 0.131 0.000
Ga: 0.869 0.631 0.000
Ir: 0.164 0.664 0.500
Ir: 0.336 0.164 0.500
Ir: 0.664 0.836 0.500
Ir: 0.836 0.336 0.500

energy of formation from the pure elements	-195	meV per atom
VASP energy	-0.404	Ry/atom
space-group type	P4/mbm

---

[5]
The following is a DFT calculation (PBE-GGA) of a relaxed structure of MnRu2Rh.

Cell: 5.141 5.141 5.141 Å, 147.40 129.83 61.12°
Element x y z (fractional)
Mn: 0.000 0.000 0.000
Ru: 0.227 0.727 0.500
Ru: 0.494 0.494 0.000
Rh: 0.769 0.269 0.500

energy of formation from the pure elements	199	meV per atom
VASP energy	-0.630	Ry/atom
space-group type	Imm2

---

[6]
The following is a DFT calculation (PBE-GGA) of a relaxed structure of Cs2InAs2.

Cell: 8.273 8.273 10.051 Å, 119.23 119.23 52.24°
Element x y z (fractional)
Cs: 0.148 0.148 0.474
Cs: 0.224 0.224 0.114
Cs: 0.776 0.776 0.886
Cs: 0.852 0.852 0.526
In: 0.491 0.491 0.827
In: 0.509 0.509 0.173
As: 0.335 0.335 0.882
As: 0.428 0.428 0.529
As: 0.572 0.572 0.471
As: 0.665 0.665 0.118

energy of formation from the pure elements	-373	meV per atom
VASP energy	-0.229	Ry/atom
space-group type	C2/m